(1)
TiV after structural relaxation, computed with GGA-PBE.

Computed properties:
Its formation energy is 0.66 eV per atom. The value obtained for the volume is 16.253 A^3/atom. The calculation puts the total energy at -7.851 eV per atom.

Cell: 5.0287 5.0287 5.1418 Å, 90.00 90.00 90.00°
Fractional positions:
Ti (0.1897, 0.1897, 0.0000)
Ti (0.3103, 0.6897, 0.5000)
Ti (0.6897, 0.3103, 0.5000)
Ti (0.8103, 0.8103, 0.0000)
V (0.1805, 0.1805, 0.5000)
V (0.3195, 0.6805, 0.0000)
V (0.6805, 0.3195, 0.0000)
V (0.8195, 0.8195, 0.5000)

=====

(2)
TmHgBi after structural relaxation, computed with GGA-PBE.

Computed properties:
The polymorph energy (0 for the lowest one) comes out at 0.0000 eV per atom. Its formation energy is -0.39 eV per atom. The value obtained for the volume is 31.993 A^3/atom. The calculation puts the total energy at -3.275 eV per atom.

Cell: 5.1392 5.1392 5.1392 Å, 60.00 60.00 60.00°
Fractional positions:
Tm (0.0000, 0.0000, 0.0000)
Hg (0.2500, 0.2500, 0.2500)
Bi (0.7500, 0.7500, 0.7500)

=====

(3)
RbBaPb3 after structural relaxation, computed with GGA-PBE.

Computed properties:
The polymorph energy (0 for the lowest one) comes out at 0.0000 eV per atom. Its formation energy is 0.42 eV per atom. The value obtained for the volume is 54.336 A^3/atom. The calculation puts the total energy at -2.383 eV per atom.

Cell: 6.4767 6.4767 6.4767 Å, 90.00 90.00 90.00°
Fractional positions:
Rb (0.0000, 0.0000, 0.0000)
Ba (0.5000, 0.5000, 0.5000)
Pb (0.0000, 0.5000, 0.5000)
Pb (0.5000, 0.0000, 0.5000)
Pb (0.5000, 0.5000, 0.0000)